First-principles (PBE) data for a relaxed structure of V4Ni5Rh, as listed in Alexandria.

Output
- space group = Pmmn
- total magnetization (μB/cell) = 0.0
- E (eV/atom) = -7.317

Cell lengths 7.4629, 8.2957, 4.1618 Å; angles 90.00, 90.00, 90.00 degrees
Last column: nearest neighbours and their distance in Å.
Element x y z (fractional)
V  0.0488  0.2500  0.0774  5 Ni 2.33-2.58, 1 Rh 2.45
V  0.2500  0.5437  0.2408  7 Ni 2.47-2.68, 1 Rh 2.50
V  0.2500  0.9563  0.2408  7 Ni 2.47-2.68, 1 Rh 2.50
V  0.4512  0.2500  0.0774  5 Ni 2.33-2.58, 1 Rh 2.45
V  0.5488  0.7500  0.9226  5 Ni 2.33-2.58, 1 Rh 2.45
V  0.7500  0.0437  0.7592  7 Ni 2.47-2.68, 1 Rh 2.50
V  0.7500  0.4563  0.7592  7 Ni 2.47-2.68, 1 Rh 2.50
V  0.9512  0.7500  0.9226  5 Ni 2.33-2.58, 1 Rh 2.45
Ni  0.0826  0.0237  0.7466  5 V 2.34-2.58, 4 Ni 2.43-2.50, 1 Rh 2.61
Ni  0.0826  0.4763  0.7466  5 V 2.34-2.58, 4 Ni 2.43-2.50, 1 Rh 2.61
Ni  0.2500  0.2500  0.5061  2 V 2.33, 4 Ni 2.47
Ni  0.4174  0.0237  0.7466  5 V 2.34-2.58, 4 Ni 2.43-2.50, 1 Rh 2.61
Ni  0.4174  0.4763  0.7466  5 V 2.34-2.58, 4 Ni 2.43-2.50, 1 Rh 2.61
Ni  0.5826  0.5237  0.2534  5 V 2.34-2.58, 4 Ni 2.43-2.50, 1 Rh 2.61
Ni  0.5826  0.9763  0.2534  5 V 2.34-2.58, 4 Ni 2.43-2.50, 1 Rh 2.61
Ni  0.7500  0.7500  0.4939  2 V 2.33, 4 Ni 2.47
Ni  0.9174  0.5237  0.2534  5 V 2.34-2.58, 4 Ni 2.43-2.50, 1 Rh 2.61
Ni  0.9174  0.9763  0.2534  5 V 2.34-2.58, 4 Ni 2.43-2.50, 1 Rh 2.61
Rh  0.2500  0.7500  0.6796  4 V 2.45-2.50, 4 Ni 2.61
Rh  0.7500  0.2500  0.3204  4 V 2.45-2.50, 4 Ni 2.61

---

First-principles (PBE) data for a relaxed structure of SiIrC2, as listed in Alexandria.

Output
- space group = I-42d
- total magnetization (μB/cell) = 0.0
- energy relative to the elements, uncorrected (eV per atom) = 0.47
- E (eV/atom) = -7.715

Cell lengths 5.4256, 5.4256, 5.4256 Å; angles 129.59, 129.59, 74.06 degrees
Last column: nearest neighbours and their distance in Å.
Element x y z (fractional)
Si  0.0000  0.0000  0.0000  4 C 1.89
Si  0.7500  0.2500  0.5000  4 C 1.89
Ir  0.2500  0.7500  0.5000  4 C 2.03
Ir  0.5000  0.5000  0.0000  4 C 2.03
C  0.1001  0.6250  0.9751  2 Si 1.89, 2 Ir 2.03
C  0.3750  0.3501  0.4751  2 Si 1.89, 2 Ir 2.03
C  0.6499  0.1250  0.0249  2 Si 1.89, 2 Ir 2.03
C  0.8750  0.8999  0.5249  2 Si 1.89, 2 Ir 2.03

---

First-principles (PBE) data for a relaxed structure of Pm5NpSe6, as listed in Alexandria.

Output
- space group = C2/m
- total magnetization (μB/cell) = 4.6
- energy relative to the elements, uncorrected (eV per atom) = -1.71
- E (eV/atom) = -6.508

Cell lengths 7.2370, 7.2370, 7.2591 Å; angles 99.58, 99.58, 120.03 degrees
Last column: nearest neighbours and their distance in Å.
Element x y z (fractional)
Pm  0.0000  0.0000  0.0000  6 Se 2.95-2.99
Pm  0.1677  0.8323  0.5000  6 Se 2.95-2.98
Pm  0.3286  0.6714  0.0000  6 Se 2.96-2.99
Pm  0.6714  0.3286  0.0000  6 Se 2.96-2.99
Pm  0.8323  0.1677  0.5000  6 Se 2.95-2.98
Np  0.5000  0.5000  0.5000  6 Se 2.91-2.93
Se  0.0895  0.4173  0.2532  1 Np 2.91, 5 Pm 2.95-2.96
Se  0.2546  0.2546  0.7498  1 Np 2.93, 5 Pm 2.98-2.99
Se  0.4173  0.0895  0.2532  1 Np 2.91, 5 Pm 2.95-2.96
Se  0.5827  0.9105  0.7468  1 Np 2.91, 5 Pm 2.95-2.96
Se  0.7454  0.7454  0.2502  1 Np 2.93, 5 Pm 2.98-2.99
Se  0.9105  0.5827  0.7468  1 Np 2.91, 5 Pm 2.95-2.96

---

First-principles (PBE) data for a relaxed structure of La9Pr2Th, as listed in Alexandria.

Output
- space group = P4/mmm
- total magnetization (μB/cell) = 0.0
- E (eV/atom) = -5.098

Cell lengths 5.2286, 5.2286, 15.7249 Å; angles 90.00, 90.00, 90.00 degrees
Last column: nearest neighbours and their distance in Å.
Element x y z (fractional)
La  0.0000  0.0000  0.0000  8 La 3.63, 4 Th 3.70
La  0.0000  0.0000  0.3342  8 La 3.69-3.78, 4 Pr 3.70
La  0.0000  0.0000  0.6658  8 La 3.69-3.78, 4 Pr 3.70
La  0.0000  0.5000  0.1603  8 La 3.63-3.78, 2 Th 3.63, 2 Pr 3.78
La  0.0000  0.5000  0.5000  8 La 3.69-3.70, 4 Pr 3.70
La  0.0000  0.5000  0.8397  8 La 3.63-3.78, 2 Th 3.63, 2 Pr 3.78
La  0.5000  0.0000  0.1603  8 La 3.63-3.78, 2 Th 3.63, 2 Pr 3.78
La  0.5000  0.0000  0.5000  8 La 3.69-3.70, 4 Pr 3.70
La  0.5000  0.0000  0.8397  8 La 3.63-3.78, 2 Th 3.63, 2 Pr 3.78
Pr  0.5000  0.5000  0.3335  12 La 3.70-3.78
Pr  0.5000  0.5000  0.6665  12 La 3.70-3.78
Th  0.5000  0.5000  0.0000  12 La 3.63-3.70